# Sr2ReAgO6, optimized geometry, DFT PBE-GGA
# DFT total energy in eV for the cell shown: -136.6
data_Sr2ReAgO6
_cell_length_a 5.809
_cell_length_b 6.220
_cell_length_c 9.811
_cell_angle_alpha 90.00
_cell_angle_beta 124.91
_cell_angle_gamma 90.00
_space_group_name_H-M_alt 'P 1 21/c 1'
_space_group_IT_number 14
loop_
_space_group_symop_operation_xyz
'x,y,z'
'-x,-y,-z'
'-x,y+1/2,-z+1/2'
'x,-y+1/2,z+1/2'
loop_
_atom_site_label
_atom_site_type_symbol
_atom_site_fract_x
_atom_site_fract_y
_atom_site_fract_z
Sr1 Sr 0.233 0.066 0.247
Re1 Re 0.500 0.000 0.000
Ag1 Ag 0.000 0.000 0.500
O1 O 0.183 0.158 0.957
O2 O 0.288 0.740 0.937
O3 O 0.379 0.046 0.775